Record 1
A plane-wave DFT calculation with PBE-GGA was carried out for an optimized crystal structure of Sr4HoZn5.

Summary:
ΔH_f (0 K), eV/f.u.: -2.04
Space group: No. 123

a = 3.804 Å, b = 3.804 Å, c = 19.338 Å
α = 90.00°, β = 90.00°, γ = 90.00°
Sites, in units of the cell vectors:
Zn 0.500 0.500 0.707
Zn 0.500 0.500 0.293
Zn 0.500 0.500 0.922
Zn 0.500 0.500 0.500
Zn 0.500 0.500 0.078
Sr 0.000 0.000 0.604
Sr 0.000 0.000 0.189
Sr 0.000 0.000 0.396
Sr 0.000 0.000 0.811
Ho 0.000 0.000 0.000

Record 2
A plane-wave DFT calculation with PBE-GGA was carried out for an optimized crystal structure of Pm5Dy2Tl.

Summary:
Excess energy over the best structure of this formula in the dataset, eV/atom: 0.044
ΔH_f (0 K), eV/f.u.: -0.05
Space group: No. 71

a = 3.489 Å, b = 11.297 Å, c = 8.813 Å
α = 129.87°, β = 101.42°, γ = 90.00°
Sites, in units of the cell vectors:
Pm 0.369 0.604 0.738
Pm 0.369 0.134 0.738
Pm 0.631 0.866 0.262
Pm 0.631 0.396 0.262
Pm 0.000 0.500 0.000
Tl 0.000 0.000 0.000
Dy 0.269 0.769 0.537
Dy 0.731 0.231 0.463

Record 3
A plane-wave DFT calculation with PBE-GGA was carried out for an optimized crystal structure of Zn2PtAu.

Summary:
ΔH_f (0 K), eV/f.u.: -1.46
Space group: No. 25

a = 4.575 Å, b = 2.876 Å, c = 4.671 Å
α = 89.99°, β = 90.00°, γ = 90.00°
Sites, in units of the cell vectors:
Zn 0.000 0.125 0.913
Zn 0.500 0.125 0.333
Au 0.000 0.625 0.414
Pt 0.500 0.625 0.840

Record 4
A plane-wave DFT calculation with PBE-GGA was carried out for an optimized crystal structure of TmNCl3.

Summary:
Space group: No. 2
Uncorrected formation energy, kJ per mole of atoms: -74

a = 9.374 Å, b = 5.212 Å, c = 8.935 Å
α = 105.64°, β = 102.91°, γ = 56.27°
Site moments in Bohr magnetons follow the coordinates.
Sites, in units of the cell vectors:
Cl 0.663 0.576 0.323  0.00
Cl 0.705 0.724 0.732  0.00
Cl 0.164 0.076 0.322  0.00
Cl 0.433 0.400 0.526  -0.01
Cl 0.204 0.224 0.732  0.00
Cl 0.935 0.900 0.528  -0.01
Tm 0.434 0.900 0.528  0.01
Tm 0.934 0.400 0.527  0.01
N 0.926 0.707 0.096  1.95
N 0.442 0.593 0.958  1.95

Record 5
A plane-wave DFT calculation with PBE-GGA was carried out for an optimized crystal structure of CrIrBr2.

Summary:
Excess energy over the best structure of this formula in the dataset, eV/atom: 0.000
Space group: No. 8
Uncorrected formation energy, kJ per mole of atoms: 2

a = 3.515 Å, b = 3.515 Å, c = 8.846 Å
α = 84.20°, β = 84.20°, γ = 60.67°
Site moments in Bohr magnetons follow the coordinates.
Sites, in units of the cell vectors:
Cr 0.581 0.581 0.300  1.50
Br 0.948 0.948 0.104  -0.04
Br 0.739 0.739 0.659  -0.09
Ir 0.232 0.232 0.438  -0.42

Record 6
A plane-wave DFT calculation with PBE-GGA was carried out for an optimized crystal structure of AcErIr2.

Summary:
Excess energy over the best structure of this formula in the dataset, eV/atom: 0.046
ΔH_f (0 K), eV/f.u.: -2.15
Space group: No. 225

a = 5.041 Å, b = 5.041 Å, c = 5.041 Å
α = 60.00°, β = 60.00°, γ = 60.00°
Sites, in units of the cell vectors:
Ir 0.750 0.750 0.750
Ir 0.250 0.250 0.250
Ac 0.000 0.000 0.000
Er 0.500 0.500 0.500